Material: Ba2Li2PaN4
Method: DFT, PBE-GGA
State: optimized geometry

Cell lengths 3.6259, 6.5701, 6.6287 Å; angles 111.10, 105.87, 90.00 degrees
Atoms (fractional coordinates):
1 Ba 0.1436 0.5854 0.2872
2 Ba 0.8564 0.4146 0.7128
3 Li 0.6804 0.9875 0.3607
4 Li 0.3196 0.0125 0.6393
5 Pa 0.0000 0.0000 0.0000
6 N 0.1892 0.1523 0.3783
7 N 0.8108 0.8477 0.6217
8 N 0.5169 0.7833 0.0338
9 N 0.4831 0.2167 0.9662

Results
Crystal system = monoclinic
Calculated total energy = -0.23386 hartree per atom
Raw formation energy = -756 meV/atom

Material: La6Ir2PtBr3
Method: DFT, PBE-GGA
State: optimized geometry

Cell lengths 7.3384, 7.3384, 8.2610 Å; angles 98.50, 98.50, 120.00 degrees
Atoms (fractional coordinates):
1 La 0.9347 0.5938 0.8035
2 La 0.7245 0.7245 0.1965
3 La 0.0653 0.4062 0.1965
4 La 0.5938 0.9347 0.8035
5 La 0.2755 0.2755 0.8035
6 La 0.4062 0.0653 0.1965
7 Ir 0.3334 0.6666 0.0000
8 Ir 0.6666 0.3334 0.0000
9 Pt 0.0000 0.0000 0.0000
10 Br 0.1673 0.8327 0.5000
11 Br 0.8327 0.1673 0.5000
12 Br 0.5000 0.5000 0.5000

Results
Crystal system = monoclinic
Calculated total energy = -0.22597 hartree per atom
Raw formation energy = -1287 meV/atom

Q: Which of these has the lowest calculated total energy?
A: Ba2Li2PaN4

Q: The lowest raw formation energy belongs to which entry?
A: La6Ir2PtBr3

Q: calculated total energy of number 2 (La6Ir2PtBr3)?
A: -0.22597 hartree per atom

Q: What is the raw formation energy in the first record?
A: -756 meV/atom